CaTlHg2 | PBEsol | relaxed

a = 7.268 Å, b = 7.268 Å, c = 7.268 Å
α = 90.00°, β = 90.00°, γ = 90.00°
Space group F-43m (No. 216)
Asymmetric unit:
Ca: 0.000 0.000 0.000
Tl: 0.250 0.250 0.250
Hg: 0.000 0.000 0.500
Hg: 0.250 0.250 0.750

## Properties
* E_tot: -1.8181 eV per atom
* crystal system: cubic

***

CaTlHg2 | PBEsol | relaxed

a = 3.875 Å, b = 3.875 Å, c = 6.685 Å
α = 90.00°, β = 90.00°, γ = 90.00°
Space group P4mm (No. 99)
Asymmetric unit:
Ca: 0.000 0.000 0.000
Tl: 0.500 0.500 0.716
Hg: 0.000 0.000 0.479
Hg: 0.500 0.500 0.242

## Properties
* E_tot: -1.7829 eV per atom
* crystal system: tetragonal

***

CaTlHg2 | PBEsol | relaxed

a = 3.615 Å, b = 4.668 Å, c = 6.305 Å
α = 90.00°, β = 106.15°, γ = 90.00°
Space group Pm (No. 6)
Asymmetric unit:
Ca: 0.000 0.000 0.000
Tl: 0.328 0.500 0.670
Hg: 0.594 0.500 0.190
Hg: 0.726 0.000 0.471

## Properties
* E_tot: -1.8057 eV per atom
* crystal system: monoclinic

***

CaTl2Hg | PBEsol | relaxed

a = 7.431 Å, b = 7.431 Å, c = 7.431 Å
α = 90.00°, β = 90.00°, γ = 90.00°
Space group F-43m (No. 216)
Asymmetric unit:
Ca: 0.000 0.000 0.000
Tl: 0.000 0.000 0.500
Tl: 0.250 0.250 0.250
Hg: 0.250 0.250 0.750

## Properties
* E_tot: -2.3001 eV per atom
* crystal system: cubic

***

CaTlHg2 | PBEsol | relaxed

a = 4.280 Å, b = 4.826 Å, c = 9.644 Å
α = 90.00°, β = 90.00°, γ = 90.00°
Space group Imm2 (No. 44)
Asymmetric unit:
Ca: 0.000 0.000 0.000
Tl: 0.000 0.500 0.238
Hg: 0.000 0.000 0.491
Hg: 0.000 0.500 0.755

## Properties
* E_tot: -1.8284 eV per atom
* crystal system: orthorhombic

***

CaTlHg | PBEsol | relaxed

a = 5.2551 Å, b = 5.2551 Å, c = 6.4017 Å
α = 90.00°, β = 90.00°, γ = 120.00°
Space group P-3m1 (No. 164)
Asymmetric unit:
Ca: 0.3333 0.6667 0.2508
Tl: 0.0000 0.0000 0.0000
Tl: 0.0000 0.0000 0.5000
Hg: 0.3333 0.6667 0.7506

## Properties
* E_tot: -2.2286 eV per atom
* crystal system: trigonal

***

Question: Which of these has the lowest E_tot?
Answer: CaTl2Hg

***

Please write out number 4 again, unchanged.
CaTl2Hg | PBEsol | relaxed

a = 7.431 Å, b = 7.431 Å, c = 7.431 Å
α = 90.00°, β = 90.00°, γ = 90.00°
Space group F-43m (No. 216)
Asymmetric unit:
Ca: 0.000 0.000 0.000
Tl: 0.000 0.000 0.500
Tl: 0.250 0.250 0.250
Hg: 0.250 0.250 0.750

## Properties
* E_tot: -2.3001 eV per atom
* crystal system: cubic